DFT (PBE) results for an optimized crystal structure of Pr3Th4S8.

Cell and atoms, written as extended XYZ:
```
15
Lattice="5.724 -5.733 0.000 5.724 5.733 0.000 -5.705 0.000 5.741" Properties=species:S:1:pos:R:3 pbc="T T T"
Pr 0.000 0.000 0.000
Pr 2.862 2.866 0.000
Pr 2.862 -2.866 0.000
Th 0.009 2.866 2.871
Th 0.009 -2.866 2.871
Th 5.724 0.000 0.000
Th 2.871 0.000 2.871
S -0.045 0.000 2.888
S 2.871 2.896 2.871
S 5.724 2.853 0.000
S -2.811 0.000 5.728
S 8.554 0.000 0.013
S 5.724 -2.853 0.000
S 2.871 -2.896 2.871
S 5.787 0.000 2.854
```

***

DFT (PBE) results for an optimized crystal structure of PrTh2S6.

Cell and atoms, written as extended XYZ:
```
18
Lattice="6.528 0.000 0.000 0.000 6.528 0.000 0.000 0.000 12.905" Properties=species:S:1:pos:R:3 pbc="T T T"
Pr 0.000 0.000 0.000
Pr 3.264 3.264 6.452
Th 0.000 0.000 4.303
Th 0.000 0.000 8.602
Th 3.264 3.264 2.150
Th 3.264 3.264 10.755
S 1.242 1.242 6.452
S 1.294 1.294 2.204
S 1.294 1.294 10.701
S 1.970 4.558 4.249
S 1.970 4.558 8.656
S 2.022 4.506 0.000
S 4.506 2.022 0.000
S 4.558 1.970 4.249
S 4.558 1.970 8.656
S 5.234 5.234 2.204
S 5.234 5.234 10.701
S 5.286 5.286 6.452
```

***

DFT (PBE) results for an optimized crystal structure of PrTm3Th4S8.

Cell and atoms, written as extended XYZ:
```
16
Lattice="3.906 2.255 6.731 -3.906 2.255 6.731 0.000 -4.510 6.731" Properties=species:S:1:pos:R:3 pbc="T T T"
Pr 0.000 0.000 0.000
Tm -1.953 -1.128 6.731
Tm -1.953 1.128 13.463
Tm 0.000 2.255 6.731
Th -3.906 0.000 10.097
Th -1.953 1.128 3.366
Th 1.953 1.128 3.366
Th 0.000 0.000 10.097
S 0.000 -2.184 8.314
S -1.891 1.092 8.314
S 0.000 0.000 5.194
S -1.891 -1.092 11.880
S 1.891 1.092 8.314
S 0.000 0.000 15.000
S 1.891 -1.092 11.880
S 0.000 2.184 11.880
```

***

DFT (PBE) results for an optimized crystal structure of Pr4TmTh3S8.

Cell and atoms, written as extended XYZ:
```
16
Lattice="4.041 2.333 6.644 -4.041 2.333 6.644 0.000 -4.666 6.644" Properties=species:S:1:pos:R:3 pbc="T T T"
Pr 0.000 0.000 0.000
Pr -2.020 -1.166 6.644
Pr -2.020 1.166 13.288
Pr 0.000 2.333 6.644
Tm 0.000 0.000 9.966
Th -4.041 0.000 9.966
Th -2.020 1.166 3.322
Th 2.020 1.166 3.322
S 0.000 0.000 4.965
S -1.962 -1.133 11.553
S 0.000 -2.266 8.379
S -1.962 1.133 8.379
S 1.962 -1.133 11.553
S 0.000 2.266 11.553
S 1.962 1.133 8.379
S 0.000 0.000 14.967
```

***

DFT (PBE) results for an optimized crystal structure of Pr2Y3ThS6.

Cell and atoms, written as extended XYZ:
```
12
Lattice="8.775 -1.987 0.000 8.775 1.987 0.000 -2.060 0.000 7.798" Properties=species:S:1:pos:R:3 pbc="T T T"
Pr 2.214 0.000 2.576
Pr 13.276 0.000 5.222
Y 1.213 0.000 6.510
Y 7.745 0.000 3.899
Y 14.277 0.000 1.288
Th 8.775 0.000 0.000
S -1.445 0.000 5.796
S 3.885 0.000 7.232
S 5.063 0.000 3.170
S 10.426 0.000 4.627
S 11.604 0.000 0.566
S 16.935 0.000 2.002
```

***

DFT (PBE) results for an optimized crystal structure of PrY3Th4S8.

Cell and atoms, written as extended XYZ:
```
16
Lattice="3.947 2.279 6.725 -3.947 2.279 6.725 0.000 -4.557 6.725" Properties=species:S:1:pos:R:3 pbc="T T T"
Pr 0.000 0.000 0.000
Y -1.973 -1.139 6.725
Y -1.973 1.139 13.451
Y 0.000 2.279 6.725
Th -3.947 0.000 10.088
Th -1.973 1.139 3.363
Th 1.973 1.139 3.363
Th 0.000 0.000 10.088
S 0.000 -2.228 8.342
S -1.930 1.114 8.342
S 0.000 0.000 5.141
S -1.930 -1.114 11.834
S 1.930 1.114 8.342
S 0.000 0.000 15.035
S 1.930 -1.114 11.834
S 0.000 2.228 11.834
```

***

DFT (PBE) results for an optimized crystal structure of Pr2YTh3S6.

Cell and atoms, written as extended XYZ:
```
12
Lattice="3.495 -6.013 0.000 3.495 6.013 0.000 -2.299 0.000 6.668" Properties=species:S:1:pos:R:3 pbc="T T T"
Pr 3.495 4.017 0.000
Pr 3.495 -4.017 0.000
Y 3.495 0.000 0.000
Th -1.149 0.000 3.334
Th 2.346 2.069 3.334
Th 2.346 -2.069 3.334
S 0.062 1.943 5.035
S 1.247 0.000 1.685
S 0.062 -1.943 5.035
S 4.629 1.943 1.632
S 3.445 0.000 4.983
S 4.629 -1.943 1.632
```

***

32
Lattice="11.277 0.000 0.000 0.000 8.075 0.000 0.000 0.000 7.283" Properties=species:S:1:pos:R:3 comment="Pr2TiS5, relaxed, DFT PBE" de_polymorph_kj_per_mol_atoms=0.0 pbc="T T T"
Pr 1.919 0.000 0.504
Pr 1.919 4.037 0.504
Pr 3.719 8.075 4.145
Pr 3.719 4.038 4.145
Pr 7.558 0.000 3.138
Pr 7.558 4.037 3.138
Pr 9.357 8.075 6.780
Pr 9.357 4.038 6.780
Ti 0.113 2.019 4.194
Ti 5.525 6.056 0.552
Ti 5.751 2.019 6.731
Ti 11.164 6.056 3.089
S 0.092 2.019 6.804
S 0.728 4.296 4.928
S 0.728 7.817 4.928
S 2.145 2.019 2.700
S 2.281 6.056 2.591
S 3.357 2.019 6.233
S 3.493 6.056 6.342
S 4.910 0.258 1.286
S 4.910 3.779 1.286
S 5.546 6.056 3.162
S 5.730 2.019 4.122
S 6.366 4.296 5.997
S 6.366 7.817 5.997
S 7.784 2.019 0.941
S 7.920 6.056 1.051
S 8.995 2.019 4.693
S 9.131 6.056 4.583
S 10.549 0.258 2.355
S 10.549 3.779 2.355
S 11.184 6.056 0.480

***

Respective formation energy from raw total energies values: -28.9; -15.1; -30.2; -30.9; -23.7; -30.6; -22.9; -14.0 eV per formula unit.
Respective calculated total energy values: -7.060; -6.605; -6.941; -6.862; -7.067; -7.340; -7.161; -6.511 eV per atom.